## LaV3O9 (PBE+U)

Data for a geometry-optimized LaV3O9 structure.

Magnetization (μB per cell): 0.00
Electronic total energy (eV per atom): -7.7423

Cell and atoms, written as CIF:
```
data_LaV3O9
_chemical_formula_sum 'La2 V6 O18'
_space_group_name_H-M_alt 'P 1 21/m 1'
_space_group_IT_number 11
_space_group_name_Hall '-P 2yb'
_cell_length_a 5.0740
_cell_length_b 9.6285
_cell_length_c 7.5147
_cell_angle_alpha 90.00
_cell_angle_beta 99.69
_cell_angle_gamma 90.00
loop_
_atom_site_label
_atom_site_fract_x
_atom_site_fract_y
_atom_site_fract_z
La1 0.0859 0.2500 0.0002
V1 0.2641 0.7500 0.6542
V2 0.4382 0.5726 0.3008
O1 0.0650 0.2500 0.3480
O2 0.2180 0.0122 0.1462
O3 0.2748 0.7500 0.2737
O4 0.2883 0.1109 0.7857
O5 0.3836 0.7500 0.8791
O6 0.3891 0.5924 0.5608
```